DFT (PBE) results for GaFeTc2 after structural relaxation.

Lattice parameters (Å, degrees): 2.9882 2.9882 6.1480 90.00 90.00 90.00
Fractional coordinates of all 4 atoms:
1 Tc 0.0000 0.0000 0.7599
2 Tc 0.0000 0.0000 0.2401
3 Ga 0.5000 0.5000 0.5000
4 Fe 0.5000 0.5000 0.0000

Fermi-level density of states, states/eV/f.u.: 3.037
Energy of formation from the pure elements, eV per atom: -0.002

***

DFT (PBE) results for Li2AsRuS after structural relaxation.

Lattice parameters (Å, degrees): 4.3727 4.3893 4.3727 90.00 90.00 90.00
Fractional coordinates of all 5 atoms:
1 Ru 0.0000 0.5000 0.0000
2 As 0.5000 0.5000 0.5000
3 S 0.0000 0.0000 0.0000
4 Li 0.0000 0.0000 0.5000
5 Li 0.5000 0.0000 0.0000

Raw formation energy, meV per atom: -180
Fermi-level density of states, states/eV/f.u.: 3.064